Below is an optimized crystal structure of Zn2GaNiO4, with properties calculated at the PBE with a Hubbard U level.

Geometry as POSCAR:
```
Zn2GaNiO4
1.0
0.0000 3.3761 4.4045
3.3194 0.0000 4.4045
3.3194 3.3761 0.0000
Zn Ga Ni O
2 1 1 4
Direct
0.0000 0.0000 0.5000
0.5000 0.5000 0.0000
0.2526 0.2526 0.7474
0.7384 0.7384 0.2616
0.1426 0.6074 0.8574
0.3562 0.9025 0.0975
0.6074 0.1426 0.3926
0.9025 0.3562 0.6438
```

Results
- electronic total energy (eV/atom) = -4.781
- spin magnetization (μB per formula unit) = 1.2
- space-group type = Fmm2, No. 42